Entry from Alexandria via LeMat-Bulk: a relaxed Ac3PmHg2 crystal (PBE).

Cell: 7.907 15.325 8.027 Å, 90.00 90.00 90.00°
Space group Ibam (No. 72)
Asymmetric unit:
Ac1 0.000 0.000 0.250 [4 per cell]
Ac2 0.000 0.274 0.250 [8 per cell]
Pm1 0.000 0.500 0.000 [4 per cell]
Hg1 0.209 0.136 0.000 [8 per cell]

**Energy above the most stable polymorph in this dataset**: 0.1996 eV per atom
**Volume**: 40.53 Å³ per atom
**Formation enthalpy at 0 K**: -97 meV/atom
**Total DFT energy (no corrections)**: -3.043 eV/atom

---

Entry from Alexandria via LeMat-Bulk: a relaxed As2PbSeBr crystal (PBE).

Cell: 5.580 5.580 5.479 Å, 90.00 90.00 90.00°
Space group P4/mmm (No. 123)
Asymmetric unit:
As1 0.000 0.500 0.000 [2 per cell]
Pb1 0.000 0.000 0.000 [1 per cell]
Se1 0.500 0.500 0.500 [1 per cell]
Br1 0.000 0.000 0.500 [1 per cell]

**Energy above the most stable polymorph in this dataset**: 0.4539 eV per atom
**Volume**: 34.12 Å³ per atom
**Total DFT energy (no corrections)**: -2.726 eV/atom
**Energy relative to the elements, uncorrected**: 4.5 eV per formula unit